1.
Computed, not measured: a geometry-optimized Sc2Mn2Al5Ag structure at the PBE level of DFT.

The structure in CIF format:
```
data_Sc2Mn2Al5Ag
_chemical_formula_sum 'Sc4 Mn4 Al10 Ag2'
_space_group_name_H-M_alt 'P 1'
_space_group_IT_number 1
_cell_length_a 4.186
_cell_length_b 8.946
_cell_length_c 8.946
_cell_angle_alpha 90.00
_cell_angle_beta 90.00
_cell_angle_gamma 90.00
loop_
_space_group_symop_operation_xyz
'x,y,z'
loop_
_atom_site_label
_atom_site_type_symbol
_atom_site_fract_x
_atom_site_fract_y
_atom_site_fract_z
Sc1 Sc 0.000 0.188 0.312
Sc2 Sc 0.000 0.688 0.188
Sc3 Sc 0.000 0.312 0.812
Sc4 Sc 0.000 0.812 0.688
Al1 Al 0.500 0.435 0.284
Al2 Al 0.500 0.935 0.216
Al3 Al 0.500 0.565 0.716
Al4 Al 0.500 0.500 0.000
Al5 Al 0.500 0.000 0.500
Al6 Al 0.500 0.284 0.565
Al7 Al 0.500 0.784 0.935
Al8 Al 0.500 0.216 0.065
Al9 Al 0.500 0.065 0.784
Al10 Al 0.500 0.716 0.435
Mn1 Mn 0.000 0.090 0.590
Mn2 Mn 0.000 0.910 0.410
Mn3 Mn 0.000 0.410 0.090
Mn4 Mn 0.000 0.590 0.910
Ag1 Ag 0.000 0.500 0.500
Ag2 Ag 0.000 0.000 0.000
```

Total DFT energy (no corrections) ... -5.45 eV/atom
E_form ... -0.20 eV/atom
Magnetic moment ... 0.064 μB per atom

=====

2.
Computed, not measured: a geometry-optimized La2PrIr structure at the PBE level of DFT.

The structure in CIF format:
```
data_La2PrIr
_chemical_formula_sum 'La4 Pr2 Ir2'
_space_group_name_H-M_alt 'P 1'
_space_group_IT_number 1
_cell_length_a 3.982
_cell_length_b 6.440
_cell_length_c 10.101
_cell_angle_alpha 90.00
_cell_angle_beta 90.00
_cell_angle_gamma 108.06
loop_
_space_group_symop_operation_xyz
'x,y,z'
loop_
_atom_site_label
_atom_site_type_symbol
_atom_site_fract_x
_atom_site_fract_y
_atom_site_fract_z
Ir1 Ir 0.727 0.454 0.250
Ir2 Ir 0.273 0.546 0.750
La1 La 0.859 0.719 0.932
La2 La 0.141 0.281 0.432
La3 La 0.859 0.719 0.568
La4 La 0.141 0.281 0.068
Pr1 Pr 0.583 0.167 0.750
Pr2 Pr 0.417 0.833 0.250
```

Total DFT energy (no corrections) ... -6.31 eV/atom
E above lowest polymorph ... 33 meV/atom
E_form ... -0.43 eV/atom
Magnetic moment ... 0.000 μB per atom

=====

3.
Computed, not measured: a geometry-optimized ErAlZn6Cu structure at the PBE level of DFT.

The structure in CIF format:
```
data_ErAlZn6Cu
_chemical_formula_sum 'Er2 Al2 Zn12 Cu2'
_space_group_name_H-M_alt 'P 1'
_space_group_IT_number 1
_cell_length_a 6.754
_cell_length_b 8.863
_cell_length_c 7.756
_cell_angle_alpha 124.84
_cell_angle_beta 115.81
_cell_angle_gamma 90.00
loop_
_space_group_symop_operation_xyz
'x,y,z'
loop_
_atom_site_label
_atom_site_type_symbol
_atom_site_fract_x
_atom_site_fract_y
_atom_site_fract_z
Al1 Al 0.500 0.000 0.500
Al2 Al 0.000 0.000 0.500
Zn1 Zn 0.065 0.861 0.747
Zn2 Zn 0.010 0.760 0.021
Zn3 Zn 0.426 0.176 0.852
Zn4 Zn 0.682 0.861 0.747
Zn5 Zn 0.935 0.139 0.253
Zn6 Zn 0.990 0.240 0.979
Zn7 Zn 0.065 0.386 0.747
Zn8 Zn 0.935 0.614 0.253
Zn9 Zn 0.682 0.386 0.747
Zn10 Zn 0.318 0.614 0.253
Zn11 Zn 0.318 0.139 0.253
Zn12 Zn 0.574 0.824 0.148
Cu1 Cu 0.500 0.500 0.000
Cu2 Cu 0.500 0.000 0.000
Er1 Er 0.701 0.451 0.403
Er2 Er 0.299 0.549 0.597
```

Total DFT energy (no corrections) ... -2.21 eV/atom
E_form ... 0.02 eV/atom
Magnetic moment ... 0.000 μB per atom

=====

4.
Computed, not measured: a geometry-optimized KTlHg2Ge structure at the PBE level of DFT.

The structure in CIF format:
```
data_KTlHg2Ge
_chemical_formula_sum 'K1 Tl1 Hg2 Ge1'
_space_group_name_H-M_alt 'P 1'
_space_group_IT_number 1
_cell_length_a 5.673
_cell_length_b 5.673
_cell_length_c 5.545
_cell_angle_alpha 90.00
_cell_angle_beta 90.00
_cell_angle_gamma 90.00
loop_
_space_group_symop_operation_xyz
'x,y,z'
loop_
_atom_site_label
_atom_site_type_symbol
_atom_site_fract_x
_atom_site_fract_y
_atom_site_fract_z
Hg1 Hg 0.500 0.000 0.000
Hg2 Hg 0.000 0.500 0.000
Tl1 Tl 0.000 0.000 0.500
Ge1 Ge 0.000 0.000 0.000
K1 K 0.500 0.500 0.500
```

Total DFT energy (no corrections) ... -1.70 eV/atom
E_form ... 0.04 eV/atom
Magnetic moment ... 0.000 μB per atom

=====

5.
Computed, not measured: a geometry-optimized YIn2Cl structure at the PBE level of DFT.

The structure in CIF format:
```
data_YIn2Cl
_chemical_formula_sum 'Y1 In2 Cl1'
_space_group_name_H-M_alt 'P 1'
_space_group_IT_number 1
_cell_length_a 5.444
_cell_length_b 3.638
_cell_length_c 6.678
_cell_angle_alpha 56.10
_cell_angle_beta 90.00
_cell_angle_gamma 90.00
loop_
_space_group_symop_operation_xyz
'x,y,z'
loop_
_atom_site_label
_atom_site_type_symbol
_atom_site_fract_x
_atom_site_fract_y
_atom_site_fract_z
In1 In 0.000 0.447 0.496
In2 In 0.000 0.053 0.004
Y1 Y 0.500 0.250 0.250
Cl1 Cl 0.500 0.750 0.750
```

Total DFT energy (no corrections) ... -3.99 eV/atom
E above lowest polymorph ... 187 meV/atom
Magnetic moment ... 0.000 μB per atom
Formation energy from raw total energies ... -0.544 eV per atom

=====

6.
Computed, not measured: a geometry-optimized YCuRh2 structure at the PBE level of DFT.

The structure in CIF format:
```
data_YCuRh2
_chemical_formula_sum 'Y1 Cu1 Rh2'
_space_group_name_H-M_alt 'P 1'
_space_group_IT_number 1
_cell_length_a 4.567
_cell_length_b 4.567
_cell_length_c 4.567
_cell_angle_alpha 60.00
_cell_angle_beta 60.00
_cell_angle_gamma 60.00
loop_
_space_group_symop_operation_xyz
'x,y,z'
loop_
_atom_site_label
_atom_site_type_symbol
_atom_site_fract_x
_atom_site_fract_y
_atom_site_fract_z
Rh1 Rh 0.000 0.000 0.000
Rh2 Rh 0.250 0.250 0.250
Y1 Y 0.750 0.750 0.750
Cu1 Cu 0.500 0.500 0.500
```

Total DFT energy (no corrections) ... -6.55 eV/atom
E above lowest polymorph ... 184 meV/atom
E_form ... -0.24 eV/atom
Magnetic moment ... 0.000 μB per atom

=====

7.
Computed, not measured: a geometry-optimized Cu2ReSe structure at the PBE level of DFT.

The structure in CIF format:
```
data_Cu2ReSe
_chemical_formula_sum 'Cu2 Re1 Se1'
_space_group_name_H-M_alt 'P 1'
_space_group_IT_number 1
_cell_length_a 8.747
_cell_length_b 8.747
_cell_length_c 8.747
_cell_angle_alpha 18.48
_cell_angle_beta 18.48
_cell_angle_gamma 18.48
loop_
_space_group_symop_operation_xyz
'x,y,z'
loop_
_atom_site_label
_atom_site_type_symbol
_atom_site_fract_x
_atom_site_fract_y
_atom_site_fract_z
Cu1 Cu 0.998 0.998 0.998
Cu2 Cu 0.502 0.502 0.502
Re1 Re 0.250 0.250 0.250
Se1 Se 0.750 0.750 0.750
```

Total DFT energy (no corrections) ... -5.59 eV/atom
Magnetic moment ... 0.000 μB per atom
Formation energy from raw total energies ... 0.444 eV per atom

=====

8.
Computed, not measured: a geometry-optimized Rb3YTh2Te6 structure at the PBE level of DFT.

The structure in CIF format:
```
data_Rb3YTh2Te6
_chemical_formula_sum 'Rb3 Y1 Th2 Te6'
_space_group_name_H-M_alt 'P 1'
_space_group_IT_number 1
_cell_length_a 7.813
_cell_length_b 7.813
_cell_length_c 9.101
_cell_angle_alpha 98.23
_cell_angle_beta 98.23
_cell_angle_gamma 119.99
loop_
_space_group_symop_operation_xyz
'x,y,z'
loop_
_atom_site_label
_atom_site_type_symbol
_atom_site_fract_x
_atom_site_fract_y
_atom_site_fract_z
Te1 Te 0.398 0.069 0.207
Te2 Te 0.931 0.602 0.793
Te3 Te 0.741 0.741 0.208
Te4 Te 0.069 0.398 0.207
Te5 Te 0.259 0.259 0.792
Te6 Te 0.602 0.931 0.793
Th1 Th 0.666 0.334 0.000
Th2 Th 0.334 0.666 0.000
Rb1 Rb 0.168 0.832 0.500
Rb2 Rb 0.832 0.168 0.500
Rb3 Rb 0.500 0.500 0.500
Y1 Y 0.000 0.000 0.000
```

Total DFT energy (no corrections) ... -4.82 eV/atom
Magnetic moment ... 0.000 μB per atom
Formation energy from raw total energies ... -1.234 eV per atom

=====

9.
Computed, not measured: a geometry-optimized PuScMnIr structure at the PBE level of DFT.

The structure in CIF format:
```
data_PuScMnIr
_chemical_formula_sum 'Pu1 Sc1 Mn1 Ir1'
_space_group_name_H-M_alt 'P 1'
_space_group_IT_number 1
_cell_length_a 4.687
_cell_length_b 4.687
_cell_length_c 4.687
_cell_angle_alpha 60.00
_cell_angle_beta 60.00
_cell_angle_gamma 60.00
loop_
_space_group_symop_operation_xyz
'x,y,z'
loop_
_atom_site_label
_atom_site_type_symbol
_atom_site_fract_x
_atom_site_fract_y
_atom_site_fract_z
Ir1 Ir 0.750 0.750 0.750
Mn1 Mn 0.250 0.250 0.250
Pu1 Pu 0.500 0.500 0.500
Sc1 Sc 0.000 0.000 0.000
```

Total DFT energy (no corrections) ... -10.05 eV/atom
E_form ... -0.38 eV/atom
Magnetic moment ... 0.615 μB per atom

=====

10.
Computed, not measured: a geometry-optimized Ta2CoCu structure at the PBE level of DFT.

The structure in CIF format:
```
data_Ta2CoCu
_chemical_formula_sum 'Ta2 Co1 Cu1'
_space_group_name_H-M_alt 'P 1'
_space_group_IT_number 1
_cell_length_a 9.016
_cell_length_b 9.016
_cell_length_c 9.016
_cell_angle_alpha 17.92
_cell_angle_beta 17.92
_cell_angle_gamma 17.92
loop_
_space_group_symop_operation_xyz
'x,y,z'
loop_
_atom_site_label
_atom_site_type_symbol
_atom_site_fract_x
_atom_site_fract_y
_atom_site_fract_z
Co1 Co 0.250 0.250 0.250
Ta1 Ta 0.503 0.503 0.503
Ta2 Ta 0.997 0.997 0.997
Cu1 Cu 0.750 0.750 0.750
```

Total DFT energy (no corrections) ... -8.48 eV/atom
E_form ... 0.24 eV/atom
Magnetic moment ... 0.024 μB per atom